# 1
First-principles (GGA-PBE) data for an optimized crystal structure of AgTeI2F, as listed in the Alexandria database.

## Properties
Spin magnetization (μB/cell): 1.41
E (eV/atom): -1.934
ΔE_f (raw) (eV per atom): 0.259

Unit cell a=5.5686 b=5.5686 c=5.5634 alpha=90.00 beta=90.00 gamma=90.00
Sites, in units of the cell vectors:
Ag (0.0000, 0.0000, 0.0000)
Te (0.0000, 0.0000, 0.5000)
I (0.0000, 0.5000, 0.0000)
I (0.5000, 0.0000, 0.0000)
F (0.5000, 0.5000, 0.5000)

# 2
First-principles (GGA-PBE) data for an optimized crystal structure of Tb2NdCu6, as listed in the Alexandria database.

## Properties
Spin magnetization (μB/cell): 0.00
Formation energy (eV per atom): -0.24
E (eV/atom): -4.530

Unit cell a=7.3654 b=7.3654 c=3.6423 alpha=90.00 beta=90.00 gamma=120.00
Sites, in units of the cell vectors:
Tb (0.3333, 0.6667, 0.0000)
Tb (0.6667, 0.3333, 0.0000)
Nd (0.0000, 0.0000, 0.0000)
Cu (0.0000, 0.3354, 0.5000)
Cu (0.0000, 0.6646, 0.5000)
Cu (0.3354, 0.0000, 0.5000)
Cu (0.3354, 0.3354, 0.5000)
Cu (0.6646, 0.0000, 0.5000)
Cu (0.6646, 0.6646, 0.5000)

# 3
First-principles (GGA-PBE) data for an optimized crystal structure of TbNdI3, as listed in the Alexandria database.

## Properties
Spin magnetization (μB/cell): 0.00
E (eV/atom): -3.929
ΔE_f (raw) (eV per atom): -1.119

Unit cell a=10.2295 b=10.2295 c=12.5020 alpha=124.18 beta=124.18 gamma=23.32
Sites, in units of the cell vectors:
Tb (0.0674, 0.0674, 0.4615)
Tb (0.9326, 0.9326, 0.5385)
Nd (0.3662, 0.3662, 0.2216)
Nd (0.6338, 0.6338, 0.7784)
I (0.1650, 0.1650, 0.0055)
I (0.2879, 0.2879, 0.3811)
I (0.4646, 0.4646, 0.7516)
I (0.5354, 0.5354, 0.2484)
I (0.7121, 0.7121, 0.6189)
I (0.8350, 0.8350, 0.9945)

# 4
First-principles (GGA-PBE) data for an optimized crystal structure of TaNbO5, as listed in the Alexandria database.

## Properties
Spin magnetization (μB/cell): 0.00
E (eV/atom): -9.321
ΔE_f (raw) (eV per atom): -2.648

Unit cell a=5.3168 b=5.3168 c=7.9235 alpha=111.90 beta=111.90 gamma=75.94
Sites, in units of the cell vectors:
Ta (0.0182, 0.9818, 0.5000)
Ta (0.9818, 0.0182, 0.0000)
Nb (0.4392, 0.5557, 0.1804)
Nb (0.5557, 0.4392, 0.6804)
O (0.0897, 0.9066, 0.2685)
O (0.2116, 0.3112, 0.1640)
O (0.2697, 0.6744, 0.5693)
O (0.3045, 0.7293, 0.9884)
O (0.3112, 0.2116, 0.6640)
O (0.6744, 0.2697, 0.0693)
O (0.7002, 0.7638, 0.3873)
O (0.7293, 0.3045, 0.4884)
O (0.7638, 0.7002, 0.8873)
O (0.9066, 0.0897, 0.7685)

# 5
First-principles (GGA-PBE) data for an optimized crystal structure of BaCd2Ag8, as listed in the Alexandria database.

## Properties
Spin magnetization (μB/cell): 0.00
Formation energy (eV per atom): 0.16
E (eV/atom): -2.259

Unit cell a=5.5388 b=5.5388 c=9.9200 alpha=90.00 beta=90.00 gamma=90.00
Sites, in units of the cell vectors:
Ba (0.0000, 0.0000, 0.0000)
Cd (0.0000, 0.5000, 0.5000)
Cd (0.5000, 0.0000, 0.5000)
Ag (0.2517, 0.2517, 0.2843)
Ag (0.2517, 0.2517, 0.7157)
Ag (0.2517, 0.7483, 0.2843)
Ag (0.2517, 0.7483, 0.7157)
Ag (0.7483, 0.2517, 0.2843)
Ag (0.7483, 0.2517, 0.7157)
Ag (0.7483, 0.7483, 0.2843)
Ag (0.7483, 0.7483, 0.7157)

# 6
First-principles (GGA-PBE) data for an optimized crystal structure of LiTbHoAu, as listed in the Alexandria database.

## Properties
Spin magnetization (μB/cell): 0.00
Formation energy (eV per atom): -0.40
E (eV/atom): -4.004

Unit cell a=5.1000 b=5.1000 c=5.1000 alpha=60.00 beta=60.00 gamma=60.00
Sites, in units of the cell vectors:
Li (0.0000, 0.0000, 0.0000)
Tb (0.7500, 0.7500, 0.7500)
Ho (0.2500, 0.2500, 0.2500)
Au (0.5000, 0.5000, 0.5000)

# 7
First-principles (GGA-PBE) data for an optimized crystal structure of RbCoHg2Cl8, as listed in the Alexandria database.

## Properties
Spin magnetization (μB/cell): 0.10
E (eV/atom): -2.757
ΔE_f (raw) (eV per atom): -0.803

Unit cell a=6.3271 b=7.0748 c=8.3829 alpha=70.32 beta=85.10 gamma=88.20
Sites, in units of the cell vectors:
Rb (0.0000, 0.0000, 0.0000)
Co (0.0000, 0.5000, 0.5000)
Hg (0.4816, 0.4331, 0.2550)
Hg (0.5184, 0.5669, 0.7450)
Cl (0.1075, 0.4868, 0.7551)
Cl (0.1923, 0.2236, 0.5081)
Cl (0.2779, 0.6961, 0.3640)
Cl (0.4928, 0.7827, 0.9255)
Cl (0.5072, 0.2173, 0.0745)
Cl (0.7221, 0.3039, 0.6360)
Cl (0.8077, 0.7764, 0.4919)
Cl (0.8925, 0.5132, 0.2449)

# 8
First-principles (GGA-PBE) data for an optimized crystal structure of Mn3CrN4, as listed in the Alexandria database.

## Properties
Spin magnetization (μB/cell): 5.56
E (eV/atom): -9.131
ΔE_f (raw) (eV per atom): -0.327

Unit cell a=5.2822 b=5.2822 c=5.2822 alpha=131.66 beta=131.66 gamma=70.77
Sites, in units of the cell vectors:
Mn (0.0000, 0.0000, 0.0000)
Mn (0.2500, 0.7500, 0.5000)
Mn (0.7500, 0.2500, 0.5000)
Cr (0.5000, 0.5000, 0.0000)
N (0.1227, 0.1227, 0.4957)
N (0.3729, 0.8773, 0.0000)
N (0.6271, 0.6271, 0.5043)
N (0.8773, 0.3729, 0.0000)

# 9
First-principles (GGA-PBE) data for an optimized crystal structure of InTePbI, as listed in the Alexandria database.

## Properties
Spin magnetization (μB/cell): 0.00
E (eV/atom): -3.126
ΔE_f (raw) (eV per atom): -0.341

Unit cell a=12.8965 b=12.8965 c=12.8965 alpha=25.02 beta=25.02 gamma=25.02
Sites, in units of the cell vectors:
In (0.1087, 0.1087, 0.1087)
In (0.8913, 0.8913, 0.8913)
Te (0.3794, 0.3794, 0.3794)
Te (0.6206, 0.6206, 0.6206)
Pb (0.2953, 0.2953, 0.2953)
Pb (0.7047, 0.7047, 0.7047)
I (0.2012, 0.2012, 0.2012)
I (0.7988, 0.7988, 0.7988)

# 10
First-principles (GGA-PBE) data for an optimized crystal structure of YHoPb, as listed in the Alexandria database.

## Properties
Spin magnetization (μB/cell): 0.00
Formation energy (eV per atom): -0.21
E (eV/atom): -5.126

Unit cell a=5.2910 b=5.2910 c=3.7334 alpha=90.00 beta=90.00 gamma=120.00
Sites, in units of the cell vectors:
Y (0.0000, 0.0000, 0.0000)
Ho (0.6667, 0.3333, 0.4661)
Pb (0.3333, 0.6667, 0.7164)

# 11
First-principles (GGA-PBE) data for an optimized crystal structure of TcNi3H, as listed in the Alexandria database.

## Properties
Spin magnetization (μB/cell): 0.88
E (eV/atom): -4.333

Unit cell a=4.4945 b=4.4945 c=4.4945 alpha=90.00 beta=90.00 gamma=90.00
Sites, in units of the cell vectors:
Tc (0.0000, 0.0000, 0.0000)
Ni (0.0000, 0.0000, 0.5000)
Ni (0.0000, 0.5000, 0.0000)
Ni (0.5000, 0.0000, 0.0000)
H (0.5000, 0.5000, 0.5000)

# 12
First-principles (GGA-PBE) data for an optimized crystal structure of SrMg2Cu2, as listed in the Alexandria database.

## Properties
Spin magnetization (μB/cell): 0.00
Formation energy (eV per atom): -0.09
E (eV/atom): -2.704

Unit cell a=6.6938 b=6.6938 c=6.6938 alpha=142.17 beta=142.17 gamma=54.57
Sites, in units of the cell vectors:
Sr (0.0000, 0.0000, 0.0000)
Mg (0.2500, 0.7500, 0.5000)
Mg (0.7500, 0.2500, 0.5000)
Cu (0.3946, 0.3946, 0.0000)
Cu (0.6054, 0.6054, 0.0000)

What is the formula in the seventh record? RbCoHg2Cl8

Which value of spin magnetization does entry 2 give? 0.00 μB/cell